Below is an optimized crystal structure of Tm4PdPt2, with properties calculated at the PBE level.

abc: 4.8434 4.8434 8.3687
angles: 73.18 73.18 60.00
Last column: nearest neighbours and their distance in Å.
Fractional positions:
Tm: 0.8739 0.8739 0.3782  4 Pt 2.91-2.97, 1 Pd 2.98
Tm: 0.1261 0.1261 0.6218  4 Pt 2.91-2.97, 1 Pd 2.98
Tm: 0.6239 0.6239 0.1282  4 Pt 2.96-3.00, 3 Pd 2.97
Tm: 0.3761 0.3761 0.8718  4 Pt 2.96-3.00, 3 Pd 2.97
Pd: 0.0000 0.0000 0.0000  8 Tm 2.97-2.98
Pt: 0.7509 0.7509 0.7474  8 Tm 2.91-3.00
Pt: 0.2491 0.2491 0.2526  8 Tm 2.91-3.00

Summary:
energy of formation: -1049 meV/atom
crystal system: trigonal